DFT (GGA+U) results for a relaxed structure of NaMnNF2.

Cell: 4.0251 4.0251 4.3723 Å, 90.00 90.00 90.00°
With the nearest neighbours (Å) after each atom.
Element x y z (fractional)
F: 0.0000 0.5000 0.0000  2 Na 2.01
F: 0.5000 0.0000 0.0000  2 Na 2.01
N: 0.0000 0.0000 0.5000  2 Na 2.19
Na: 0.0000 0.0000 0.0000  4 F 2.01, 2 N 2.19
Mn: 0.5000 0.5000 0.5000  4 N 2.85, 8 F 2.97

Output
For the polymorph energy (0 for the lowest one), the calculation gives 916 meV per atom. The total energy is -22.93 eV/cell. The calculated volume comes out at 14.17 A^3/atom.